Entry 1:
## Y3Er12Th (PBE-GGA)

Data for a geometry-optimized Y3Er12Th structure.

Unit cell a=4.9898 b=4.9898 c=19.9213 alpha=90.00 beta=90.00 gamma=90.00
Sites, in units of the cell vectors:
Y  0.0000  0.0000  0.0000
Y  0.0000  0.0000  0.2505
Y  0.0000  0.0000  0.7495
Er  0.0000  0.5000  0.1252
Er  0.0000  0.5000  0.3764
Er  0.0000  0.5000  0.6236
Er  0.0000  0.5000  0.8748
Er  0.5000  0.0000  0.1252
Er  0.5000  0.0000  0.3764
Er  0.5000  0.0000  0.6236
Er  0.5000  0.0000  0.8748
Er  0.5000  0.5000  0.0000
Er  0.5000  0.5000  0.2490
Er  0.5000  0.5000  0.5000
Er  0.5000  0.5000  0.7510
Th  0.0000  0.0000  0.5000

Values from the calculation:
The value obtained for the formation energy is 0.0278 eV/atom.

Entry 2:
## Y3Er8Th (PBE-GGA)

Data for a geometry-optimized Y3Er8Th structure.

Unit cell a=9.4088 b=9.4088 c=9.4088 alpha=131.88 beta=131.88 gamma=70.41
Sites, in units of the cell vectors:
Y  0.0000  0.0000  0.0000
Y  0.2500  0.7500  0.5000
Y  0.7500  0.2500  0.5000
Er  0.1270  0.1270  0.5021
Er  0.1270  0.6249  0.0000
Er  0.3751  0.3751  0.5021
Er  0.3751  0.8730  0.0000
Er  0.6249  0.1270  0.0000
Er  0.6249  0.6249  0.4979
Er  0.8730  0.3751  0.0000
Er  0.8730  0.8730  0.4979
Th  0.5000  0.5000  0.0000

Values from the calculation:
The value obtained for the formation energy is 0.7961 eV/atom.

Entry 3:
## Y7Er12Th (PBE-GGA)

Data for a geometry-optimized Y7Er12Th structure.

Unit cell a=9.7530 b=9.7530 c=9.7530 alpha=109.47 beta=109.47 gamma=109.47
Sites, in units of the cell vectors:
Y  0.0000  0.0000  0.5000
Y  0.0000  0.5000  0.0000
Y  0.0000  0.5000  0.5000
Y  0.5000  0.0000  0.0000
Y  0.5000  0.0000  0.5000
Y  0.5000  0.5000  0.0000
Y  0.5000  0.5000  0.5000
Er  0.0000  0.2242  0.7758
Er  0.0000  0.7758  0.2242
Er  0.2242  0.0000  0.7758
Er  0.2242  0.2242  0.4484
Er  0.2242  0.4484  0.2242
Er  0.2242  0.7758  0.0000
Er  0.4484  0.2242  0.2242
Er  0.5516  0.7758  0.7758
Er  0.7758  0.0000  0.2242
Er  0.7758  0.2242  0.0000
Er  0.7758  0.5516  0.7758
Er  0.7758  0.7758  0.5516
Th  0.0000  0.0000  0.0000

Values from the calculation:
The value obtained for the formation energy is 0.7706 eV/atom. As for the energy above the most stable polymorph in this dataset: 541 meV/atom.

Entry 4:
## Y12Er6Th (PBE-GGA)

Data for a geometry-optimized Y12Er6Th structure.

Unit cell a=8.5318 b=8.5318 c=8.5318 alpha=88.22 beta=88.22 gamma=88.22
Sites, in units of the cell vectors:
Y  0.0091  0.2035  0.3533
Y  0.2035  0.3533  0.0091
Y  0.2227  0.4579  0.5619
Y  0.3533  0.0091  0.2035
Y  0.4381  0.7773  0.5421
Y  0.4579  0.5619  0.2227
Y  0.5421  0.4381  0.7773
Y  0.5619  0.2227  0.4579
Y  0.6467  0.9909  0.7965
Y  0.7773  0.5421  0.4381
Y  0.7965  0.6467  0.9909
Y  0.9909  0.7965  0.6467
Er  0.0927  0.6927  0.2541
Er  0.2541  0.0927  0.6927
Er  0.3073  0.7459  0.9073
Er  0.6927  0.2541  0.0927
Er  0.7459  0.9073  0.3073
Er  0.9073  0.3073  0.7459
Th  0.0000  0.0000  0.0000

Values from the calculation:
The value obtained for the formation energy is 0.1417 eV/atom. As for the energy above the most stable polymorph in this dataset: 3 meV/atom.

Entry 5:
## Y5Er3Th3 (PBE-GGA)

Data for a geometry-optimized Y5Er3Th3 structure.

Unit cell a=11.1862 b=11.1862 c=3.4238 alpha=90.00 beta=90.00 gamma=120.00
Sites, in units of the cell vectors:
Y  0.0000  0.8373  0.0000
Y  0.1627  0.1627  0.0000
Y  0.3333  0.6667  0.0000
Y  0.6667  0.3333  0.0000
Y  0.8373  0.0000  0.0000
Er  0.0000  0.5899  0.5000
Er  0.4101  0.4101  0.5000
Er  0.5899  0.0000  0.5000
Th  0.0000  0.3390  0.0000
Th  0.3390  0.0000  0.0000
Th  0.6610  0.6610  0.0000

Values from the calculation:
The value obtained for the formation energy is 0.3950 eV/atom. As for the energy above the most stable polymorph in this dataset: 250 meV/atom.

Entry 6:
## Y4ErTh2 (PBE-GGA)

Data for a geometry-optimized Y4ErTh2 structure.

Unit cell a=3.4917 b=8.5762 c=8.7649 alpha=62.19 beta=89.38 gamma=80.45
Sites, in units of the cell vectors:
Y  0.0547  0.4446  0.2178
Y  0.3522  0.8574  0.9199
Y  0.6478  0.1426  0.0801
Y  0.9453  0.5554  0.7822
Er  0.0000  0.0000  0.5000
Th  0.4065  0.7163  0.3703
Th  0.5935  0.2837  0.6297

Values from the calculation:
The value obtained for the formation energy is 0.1089 eV/atom. As for the energy above the most stable polymorph in this dataset: 0 meV/atom.

Entry 7:
## Y3ErTh (PBE-GGA)

Data for a geometry-optimized Y3ErTh structure.

Unit cell a=6.2589 b=6.7604 c=9.2249 alpha=108.20 beta=90.21 gamma=117.55
Sites, in units of the cell vectors:
Y  0.0716  0.2991  0.0433
Y  0.2623  0.7043  0.4460
Y  0.3398  0.5012  0.7443
Y  0.6602  0.4988  0.2557
Y  0.7377  0.2957  0.5540
Y  0.9284  0.7009  0.9567
Er  0.4636  0.0949  0.8494
Er  0.5364  0.9051  0.1506
Th  0.1178  0.0953  0.3468
Th  0.8822  0.9047  0.6532

Values from the calculation:
The value obtained for the formation energy is 0.0270 eV/atom. As for the energy above the most stable polymorph in this dataset: 0 meV/atom.

Entry 8:
## YErTh14 (PBE-GGA)

Data for a geometry-optimized YErTh14 structure.

Unit cell a=11.5774 b=7.1725 c=7.1725 alpha=59.96 beta=90.00 gamma=90.00
Sites, in units of the cell vectors:
Y  0.0000  0.0000  0.0000
Er  0.0000  0.4998  0.4998
Th  0.0000  0.4963  0.9967
Th  0.0000  0.9967  0.4963
Th  0.2501  0.1655  0.6648
Th  0.2501  0.6648  0.1655
Th  0.2504  0.6649  0.6649
Th  0.2512  0.1651  0.1651
Th  0.5000  0.3323  0.3323
Th  0.5000  0.3323  0.8318
Th  0.5000  0.8318  0.3323
Th  0.5000  0.8323  0.8323
Th  0.7488  0.1651  0.1651
Th  0.7499  0.1655  0.6648
Th  0.7499  0.6648  0.1655
Th  0.7496  0.6649  0.6649

Values from the calculation:
The value obtained for the formation energy is 0.0324 eV/atom.